*w*
Mn2CdF6 after structural relaxation, computed with GGA+U.

```
data_Mn2CdF6
_chemical_formula_sum 'Mn4 Cd2 F12'
_cell_length_a 5.047
_cell_length_b 5.047
_cell_length_c 10.247
_cell_angle_alpha 90.00
_cell_angle_beta 90.00
_cell_angle_gamma 90.00
_space_group_name_H-M_alt 'P 1'
_space_group_IT_number 1
loop_
_space_group_symop_operation_xyz
'x,y,z'
loop_
_atom_site_label
_atom_site_type_symbol
_atom_site_fract_x
_atom_site_fract_y
_atom_site_fract_z
Mn1 Mn 0.000 0.000 0.167
Mn2 Mn 0.000 0.000 0.833
Mn3 Mn 0.500 0.500 0.333
Mn4 Mn 0.500 0.500 0.667
Cd1 Cd 0.000 0.000 0.500
Cd2 Cd 0.500 0.500 0.000
F1 F 0.185 0.185 0.000
F2 F 0.199 0.199 0.326
F3 F 0.199 0.199 0.674
F4 F 0.301 0.699 0.174
F5 F 0.301 0.699 0.826
F6 F 0.315 0.685 0.500
F7 F 0.685 0.315 0.500
F8 F 0.699 0.301 0.174
F9 F 0.699 0.301 0.826
F10 F 0.801 0.801 0.326
F11 F 0.801 0.801 0.674
F12 F 0.815 0.815 0.000
```

Spin magnetization, μB per atom: 1.11

=====

*x*
Mn2CdF6 after structural relaxation, computed with GGA+U.

```
data_Mn2CdF6
_chemical_formula_sum 'Mn4 Cd2 F12'
_cell_length_a 4.855
_cell_length_b 5.812
_cell_length_c 9.534
_cell_angle_alpha 90.00
_cell_angle_beta 90.00
_cell_angle_gamma 90.00
_space_group_name_H-M_alt 'P 1'
_space_group_IT_number 1
loop_
_space_group_symop_operation_xyz
'x,y,z'
loop_
_atom_site_label
_atom_site_type_symbol
_atom_site_fract_x
_atom_site_fract_y
_atom_site_fract_z
Mn1 Mn 0.000 0.000 0.182
Mn2 Mn 0.000 0.000 0.818
Mn3 Mn 0.500 0.500 0.318
Mn4 Mn 0.500 0.500 0.682
Cd1 Cd 0.000 0.500 0.000
Cd2 Cd 0.500 0.000 0.500
F1 F 0.200 0.155 0.000
F2 F 0.236 0.678 0.176
F3 F 0.236 0.678 0.824
F4 F 0.264 0.178 0.324
F5 F 0.264 0.178 0.676
F6 F 0.300 0.655 0.500
F7 F 0.700 0.345 0.500
F8 F 0.736 0.822 0.324
F9 F 0.736 0.822 0.676
F10 F 0.764 0.322 0.176
F11 F 0.764 0.322 0.824
F12 F 0.800 0.845 0.000
```

Spin magnetization, μB per atom: 1.11

=====

Verdict on stability: *x* comes out at the bottom.

=====

*w*
MnCdF4 after structural relaxation, computed with GGA+U.

```
data_MnCdF4
_chemical_formula_sum 'Mn2 Cd2 F8'
_cell_length_a 5.461
_cell_length_b 5.450
_cell_length_c 5.447
_cell_angle_alpha 90.00
_cell_angle_beta 91.18
_cell_angle_gamma 90.00
_space_group_name_H-M_alt 'P 1'
_space_group_IT_number 1
loop_
_space_group_symop_operation_xyz
'x,y,z'
loop_
_atom_site_label
_atom_site_type_symbol
_atom_site_fract_x
_atom_site_fract_y
_atom_site_fract_z
Mn1 Mn 0.000 0.000 0.000
Mn2 Mn 0.000 0.500 0.500
Cd1 Cd 0.500 0.000 0.500
Cd2 Cd 0.500 0.500 0.000
F1 F 0.158 0.173 0.681
F2 F 0.158 0.327 0.181
F3 F 0.328 0.658 0.649
F4 F 0.328 0.842 0.149
F5 F 0.672 0.158 0.851
F6 F 0.672 0.342 0.351
F7 F 0.842 0.673 0.819
F8 F 0.842 0.827 0.319
```

Spin magnetization, μB per atom: 0.83

=====

*x*
MnCdF4 after structural relaxation, computed with GGA+U.

```
data_MnCdF4
_chemical_formula_sum 'Mn1 Cd1 F4'
_cell_length_a 5.093
_cell_length_b 5.093
_cell_length_c 3.447
_cell_angle_alpha 90.00
_cell_angle_beta 90.00
_cell_angle_gamma 90.08
_space_group_name_H-M_alt 'P 1'
_space_group_IT_number 1
loop_
_space_group_symop_operation_xyz
'x,y,z'
loop_
_atom_site_label
_atom_site_type_symbol
_atom_site_fract_x
_atom_site_fract_y
_atom_site_fract_z
Mn1 Mn 0.000 0.000 0.000
Cd1 Cd 0.500 0.500 0.500
F1 F 0.186 0.814 0.500
F2 F 0.295 0.295 0.000
F3 F 0.705 0.705 0.000
F4 F 0.814 0.186 0.500
```

Spin magnetization, μB per atom: 0.83

=====

Verdict on stability: *w* comes out at the bottom.

=====

*w*
Mn2CdF after structural relaxation, computed with GGA+U.

```
data_Mn2CdF
_chemical_formula_sum 'Mn2 Cd1 F1'
_cell_length_a 4.758
_cell_length_b 4.758
_cell_length_c 4.758
_cell_angle_alpha 60.00
_cell_angle_beta 60.00
_cell_angle_gamma 60.00
_space_group_name_H-M_alt 'P 1'
_space_group_IT_number 1
loop_
_space_group_symop_operation_xyz
'x,y,z'
loop_
_atom_site_label
_atom_site_type_symbol
_atom_site_fract_x
_atom_site_fract_y
_atom_site_fract_z
Mn1 Mn 0.250 0.250 0.250
Mn2 Mn 0.750 0.750 0.750
Cd1 Cd 0.000 0.000 0.000
F1 F 0.500 0.500 0.500
```

Spin magnetization, μB per atom: 2.41

=====

*x*
Mn2CdF after structural relaxation, computed with GGA+U.

```
data_Mn2CdF
_chemical_formula_sum 'Mn4 Cd2 F2'
_cell_length_a 5.838
_cell_length_b 5.838
_cell_length_c 5.838
_cell_angle_alpha 109.16
_cell_angle_beta 109.16
_cell_angle_gamma 110.09
_space_group_name_H-M_alt 'P 1'
_space_group_IT_number 1
loop_
_space_group_symop_operation_xyz
'x,y,z'
loop_
_atom_site_label
_atom_site_type_symbol
_atom_site_fract_x
_atom_site_fract_y
_atom_site_fract_z
Mn1 Mn 0.051 0.625 0.926
Mn2 Mn 0.375 0.301 0.426
Mn3 Mn 0.699 0.125 0.074
Mn4 Mn 0.875 0.949 0.574
Cd1 Cd 0.250 0.750 0.500
Cd2 Cd 0.500 0.500 0.000
F1 F 0.000 0.000 0.000
F2 F 0.750 0.250 0.500
```

Spin magnetization, μB per atom: 2.32

=====

Verdict on stability: *w* comes out at the bottom.

=====

*w*
MnCdF3 after structural relaxation, computed with GGA+U.

```
data_MnCdF3
_chemical_formula_sum 'Mn1 Cd1 F3'
_cell_length_a 4.450
_cell_length_b 4.450
_cell_length_c 4.450
_cell_angle_alpha 90.00
_cell_angle_beta 90.00
_cell_angle_gamma 90.00
_space_group_name_H-M_alt 'P 1'
_space_group_IT_number 1
loop_
_space_group_symop_operation_xyz
'x,y,z'
loop_
_atom_site_label
_atom_site_type_symbol
_atom_site_fract_x
_atom_site_fract_y
_atom_site_fract_z
Mn1 Mn 0.000 0.000 0.000
Cd1 Cd 0.500 0.500 0.500
F1 F 0.000 0.500 0.500
F2 F 0.500 0.000 0.500
F3 F 0.500 0.500 0.000
```

Spin magnetization, μB per atom: 1.18

=====

*x*
MnCdF3 after structural relaxation, computed with GGA+U.

```
data_MnCdF3
_chemical_formula_sum 'Mn2 Cd2 F6'
_cell_length_a 4.087
_cell_length_b 9.741
_cell_length_c 9.741
_cell_angle_alpha 155.28
_cell_angle_beta 90.00
_cell_angle_gamma 90.00
_space_group_name_H-M_alt 'P 1'
_space_group_IT_number 1
loop_
_space_group_symop_operation_xyz
'x,y,z'
loop_
_atom_site_label
_atom_site_type_symbol
_atom_site_fract_x
_atom_site_fract_y
_atom_site_fract_z
Mn1 Mn 0.250 0.072 0.928
Mn2 Mn 0.750 0.928 0.072
Cd1 Cd 0.250 0.407 0.786
Cd2 Cd 0.750 0.786 0.407
F1 F 0.250 0.146 0.770
F2 F 0.250 0.587 0.403
F3 F 0.250 0.947 0.039
F4 F 0.750 0.039 0.947
F5 F 0.750 0.403 0.587
F6 F 0.750 0.770 0.146
```

Spin magnetization, μB per atom: 0.99

=====

Verdict on stability: *w* comes out at the bottom.

=====

*w*
Mn3CdF after structural relaxation, computed with GGA+U.

```
data_Mn3CdF
_chemical_formula_sum 'Mn3 Cd1 F1'
_cell_length_a 5.269
_cell_length_b 5.269
_cell_length_c 5.269
_cell_angle_alpha 90.00
_cell_angle_beta 90.00
_cell_angle_gamma 90.00
_space_group_name_H-M_alt 'P 1'
_space_group_IT_number 1
loop_
_space_group_symop_operation_xyz
'x,y,z'
loop_
_atom_site_label
_atom_site_type_symbol
_atom_site_fract_x
_atom_site_fract_y
_atom_site_fract_z
Mn1 Mn 0.000 0.000 0.500
Mn2 Mn 0.000 0.500 0.000
Mn3 Mn 0.500 0.000 0.000
Cd1 Cd 0.000 0.000 0.000
F1 F 0.500 0.500 0.500
```

Spin magnetization, μB per atom: 2.92

=====

*x*
Mn3CdF after structural relaxation, computed with GGA+U.

```
data_Mn3CdF
_chemical_formula_sum 'Mn3 Cd1 F1'
_cell_length_a 4.523
_cell_length_b 4.523
_cell_length_c 4.523
_cell_angle_alpha 90.00
_cell_angle_beta 90.00
_cell_angle_gamma 90.00
_space_group_name_H-M_alt 'P 1'
_space_group_IT_number 1
loop_
_space_group_symop_operation_xyz
'x,y,z'
loop_
_atom_site_label
_atom_site_type_symbol
_atom_site_fract_x
_atom_site_fract_y
_atom_site_fract_z
Mn1 Mn 0.000 0.000 0.500
Mn2 Mn 0.000 0.500 0.000
Mn3 Mn 0.500 0.000 0.000
Cd1 Cd 0.500 0.500 0.500
F1 F 0.000 0.000 0.000
```

Spin magnetization, μB per atom: 2.79

=====

Verdict on stability: *w* comes out at the bottom.

=====

*w*
MnCdOF2 after structural relaxation, computed with GGA+U.

```
data_MnCdOF2
_chemical_formula_sum 'Mn1 Cd1 O1 F2'
_cell_length_a 4.089
_cell_length_b 4.089
_cell_length_c 4.059
_cell_angle_alpha 90.00
_cell_angle_beta 90.00
_cell_angle_gamma 90.00
_space_group_name_H-M_alt 'P 1'
_space_group_IT_number 1
loop_
_space_group_symop_operation_xyz
'x,y,z'
loop_
_atom_site_label
_atom_site_type_symbol
_atom_site_fract_x
_atom_site_fract_y
_atom_site_fract_z
Mn1 Mn 0.000 0.000 0.000
Cd1 Cd 0.500 0.500 0.500
O1 O 0.000 0.000 0.500
F1 F 0.000 0.500 0.000
F2 F 0.500 0.000 0.000
```

Spin magnetization, μB per atom: 0.92

=====

*x*
MnCdOF2 after structural relaxation, computed with GGA+U.

```
data_MnCdOF2
_chemical_formula_sum 'Mn1 Cd1 O1 F2'
_cell_length_a 4.288
_cell_length_b 4.288
_cell_length_c 4.383
_cell_angle_alpha 90.00
_cell_angle_beta 90.00
_cell_angle_gamma 90.00
_space_group_name_H-M_alt 'P 1'
_space_group_IT_number 1
loop_
_space_group_symop_operation_xyz
'x,y,z'
loop_
_atom_site_label
_atom_site_type_symbol
_atom_site_fract_x
_atom_site_fract_y
_atom_site_fract_z
Mn1 Mn 0.000 0.000 0.000
Cd1 Cd 0.500 0.500 0.500
O1 O 0.500 0.500 0.000
F1 F 0.000 0.500 0.500
F2 F 0.500 0.000 0.500
```

Spin magnetization, μB per atom: 1.01

=====

Verdict on stability: *x* comes out at the bottom.

=====

*w*
Cd3MoF after structural relaxation, computed with GGA+U.

```
data_Cd3MoF
_chemical_formula_sum 'Cd3 Mo1 F1'
_cell_length_a 5.686
_cell_length_b 5.686
_cell_length_c 5.686
_cell_angle_alpha 90.00
_cell_angle_beta 90.00
_cell_angle_gamma 90.00
_space_group_name_H-M_alt 'P 1'
_space_group_IT_number 1
loop_
_space_group_symop_operation_xyz
'x,y,z'
loop_
_atom_site_label
_atom_site_type_symbol
_atom_site_fract_x
_atom_site_fract_y
_atom_site_fract_z
Cd1 Cd 0.000 0.000 0.500
Cd2 Cd 0.000 0.500 0.000
Cd3 Cd 0.500 0.000 0.000
Mo1 Mo 0.000 0.000 0.000
F1 F 0.500 0.500 0.500
```

Spin magnetization, μB per atom: 0.97

=====

*x*
Cd3MoF after structural relaxation, computed with GGA+U.

```
data_Cd3MoF
_chemical_formula_sum 'Cd3 Mo1 F1'
_cell_length_a 4.783
_cell_length_b 4.783
_cell_length_c 4.783
_cell_angle_alpha 90.00
_cell_angle_beta 90.00
_cell_angle_gamma 90.00
_space_group_name_H-M_alt 'P 1'
_space_group_IT_number 1
loop_
_space_group_symop_operation_xyz
'x,y,z'
loop_
_atom_site_label
_atom_site_type_symbol
_atom_site_fract_x
_atom_site_fract_y
_atom_site_fract_z
Cd1 Cd 0.000 0.000 0.500
Cd2 Cd 0.000 0.500 0.000
Cd3 Cd 0.500 0.000 0.000
Mo1 Mo 0.500 0.500 0.500
F1 F 0.000 0.000 0.000
```

Spin magnetization, μB per atom: 0.80

=====

Verdict on stability: *w* comes out at the bottom.

=====

*w*
CdMo2F after structural relaxation, computed with GGA+U.

```
data_CdMo2F
_chemical_formula_sum 'Cd1 Mo2 F1'
_cell_length_a 4.512
_cell_length_b 4.512
_cell_length_c 4.512
_cell_angle_alpha 60.00
_cell_angle_beta 60.00
_cell_angle_gamma 60.00
_space_group_name_H-M_alt 'P 1'
_space_group_IT_number 1
loop_
_space_group_symop_operation_xyz
'x,y,z'
loop_
_atom_site_label
_atom_site_type_symbol
_atom_site_fract_x
_atom_site_fract_y
_atom_site_fract_z
Cd1 Cd 0.000 0.000 0.000
Mo1 Mo 0.250 0.250 0.250
Mo2 Mo 0.750 0.750 0.750
F1 F 0.500 0.500 0.500
```

Spin magnetization, μB per atom: 0.07

=====

*x*
CdMo2F after structural relaxation, computed with GGA+U.

```
data_CdMo2F
_chemical_formula_sum 'Cd2 Mo4 F2'
_cell_length_a 7.864
_cell_length_b 7.864
_cell_length_c 7.864
_cell_angle_alpha 137.42
_cell_angle_beta 137.42
_cell_angle_gamma 61.80
_space_group_name_H-M_alt 'P 1'
_space_group_IT_number 1
loop_
_space_group_symop_operation_xyz
'x,y,z'
loop_
_atom_site_label
_atom_site_type_symbol
_atom_site_fract_x
_atom_site_fract_y
_atom_site_fract_z
Cd1 Cd 0.000 0.000 0.000
Cd2 Cd 0.750 0.250 0.500
Mo1 Mo 0.230 0.625 0.105
Mo2 Mo 0.375 0.480 0.605
Mo3 Mo 0.520 0.125 0.895
Mo4 Mo 0.875 0.770 0.395
F1 F 0.250 0.750 0.500
F2 F 0.500 0.500 0.000
```

Spin magnetization, μB per atom: 2.30

=====

Verdict on stability: *w* comes out at the bottom.

=====

*w*
Cd2MoF2 after structural relaxation, computed with GGA+U.

```
data_Cd2MoF2
_chemical_formula_sum 'Cd2 Mo1 F2'
_cell_length_a 7.396
_cell_length_b 7.396
_cell_length_c 7.396
_cell_angle_alpha 151.60
_cell_angle_beta 151.60
_cell_angle_gamma 40.60
_space_group_name_H-M_alt 'P 1'
_space_group_IT_number 1
loop_
_space_group_symop_operation_xyz
'x,y,z'
loop_
_atom_site_label
_atom_site_type_symbol
_atom_site_fract_x
_atom_site_fract_y
_atom_site_fract_z
Cd1 Cd 0.142 0.142 0.000
Cd2 Cd 0.858 0.858 0.000
Mo1 Mo 0.500 0.500 0.000
F1 F 0.250 0.750 0.500
F2 F 0.750 0.250 0.500
```

Spin magnetization, μB per atom: 0.86

=====

*x*
Cd2MoF2 after structural relaxation, computed with GGA+U.

```
data_Cd2MoF2
_chemical_formula_sum 'Cd4 Mo2 F4'
_cell_length_a 7.921
_cell_length_b 7.921
_cell_length_c 3.096
_cell_angle_alpha 90.00
_cell_angle_beta 90.00
_cell_angle_gamma 90.00
_space_group_name_H-M_alt 'P 1'
_space_group_IT_number 1
loop_
_space_group_symop_operation_xyz
'x,y,z'
loop_
_atom_site_label
_atom_site_type_symbol
_atom_site_fract_x
_atom_site_fract_y
_atom_site_fract_z
Cd1 Cd 0.139 0.361 0.000
Cd2 Cd 0.361 0.861 0.000
Cd3 Cd 0.639 0.139 0.000
Cd4 Cd 0.861 0.639 0.000
Mo1 Mo 0.000 0.000 0.000
Mo2 Mo 0.500 0.500 0.000
F1 F 0.116 0.616 0.500
F2 F 0.384 0.116 0.500
F3 F 0.616 0.884 0.500
F4 F 0.884 0.384 0.500
```

Spin magnetization, μB per atom: 0.94

=====

Verdict on stability: *x* comes out at the bottom.